The following is a DFT calculation (PBE+U) of a relaxed Ni2Hg2RhO6 crystal.

Values from the calculation:
* crystal system: monoclinic
* VASP energy: -4.55 eV/atom

Structure (CIF):
```
data_Ni2Hg2RhO6
_chemical_formula_sum 'Ni4 Hg4 Rh2 O12'
_cell_length_a 5.3817
_cell_length_b 9.3171
_cell_length_c 6.0952
_cell_angle_alpha 90.00
_cell_angle_beta 96.09
_cell_angle_gamma 90.00
_space_group_name_H-M_alt 'C 1 2/m 1'
_space_group_IT_number 12
_space_group_name_Hall '-C 2y'
loop_
_atom_site_label
_atom_site_type_symbol
_atom_site_fract_x
_atom_site_fract_y
_atom_site_fract_z
Ni1 Ni 0.0000 0.1593 0.0000
Hg1 Hg 0.0000 0.3344 0.5000
Rh1 Rh 0.0000 0.5000 0.0000
O1 O 0.1345 0.3332 0.8278
O2 O 0.1612 0.0000 0.8369
```